[1]
The following is a DFT calculation (PBE-GGA) of an optimized crystal structure of RbTaAs3.

Properties
* energy relative to the elements: -0.14 eV/atom
* total moment: 0.00 μB per formula unit
* crystal system: cubic
* polymorph energy (0 for the lowest one): 0 meV/atom

a = 5.105 Å, b = 5.105 Å, c = 5.105 Å
α = 90.00°, β = 90.00°, γ = 90.00°
Fractional positions:
Rb (0.000, 0.000, 0.000)
Ta (0.500, 0.500, 0.500)
As (0.000, 0.500, 0.500)
As (0.500, 0.000, 0.500)
As (0.500, 0.500, 0.000)

[2]
The following is a DFT calculation (PBE-GGA) of an optimized crystal structure of Rb3TaAs3.

Properties
* energy relative to the elements: -0.37 eV/atom
* total moment: 0.99 μB per formula unit
* crystal system: monoclinic

a = 8.508 Å, b = 8.508 Å, c = 8.516 Å
α = 97.72°, β = 97.72°, γ = 113.12°
Fractional positions:
Rb (0.177, 0.823, 0.000)
Rb (0.263, 0.737, 0.500)
Rb (0.385, 0.385, 0.145)
Rb (0.615, 0.615, 0.855)
Rb (0.737, 0.263, 0.500)
Rb (0.823, 0.177, 0.000)
Ta (0.161, 0.161, 0.646)
Ta (0.839, 0.839, 0.354)
As (0.105, 0.105, 0.339)
As (0.149, 0.430, 0.773)
As (0.430, 0.149, 0.773)
As (0.570, 0.851, 0.227)
As (0.851, 0.570, 0.227)
As (0.895, 0.895, 0.661)

[3]
The following is a DFT calculation (PBE-GGA) of an optimized crystal structure of RbTa2As.

Properties
* energy relative to the elements: 1.02 eV/atom
* total moment: 0.00 μB per formula unit
* crystal system: tetragonal

a = 10.080 Å, b = 10.080 Å, c = 10.080 Å
α = 150.88°, β = 150.88°, γ = 41.65°
Fractional positions:
Rb (0.375, 0.625, 0.750)
Rb (0.625, 0.375, 0.250)
Ta (0.000, 0.000, 0.000)
Ta (0.000, 0.000, 0.500)
Ta (0.000, 0.500, 0.000)
Ta (0.500, 0.000, 0.500)
As (0.125, 0.875, 0.250)
As (0.875, 0.125, 0.750)

[4]
The following is a DFT calculation (PBE-GGA) of an optimized crystal structure of Rb3TaAs.

Properties
* energy relative to the elements: 1.24 eV/atom
* total moment: 3.00 μB per formula unit
* crystal system: cubic
* polymorph energy (0 for the lowest one): 0 meV/atom

a = 6.632 Å, b = 6.632 Å, c = 6.632 Å
α = 90.00°, β = 90.00°, γ = 90.00°
Fractional positions:
Rb (0.000, 0.000, 0.500)
Rb (0.000, 0.500, 0.000)
Rb (0.500, 0.000, 0.000)
Ta (0.500, 0.500, 0.500)
As (0.000, 0.000, 0.000)

[5]
The following is a DFT calculation (PBE-GGA) of an optimized crystal structure of RbTa3As.

Properties
* energy relative to the elements: 3.18 eV/atom
* total moment: 0.00 μB per formula unit
* crystal system: cubic
* polymorph energy (0 for the lowest one): 1738 meV/atom

a = 4.825 Å, b = 4.825 Å, c = 4.825 Å
α = 90.00°, β = 90.00°, γ = 90.00°
Fractional positions:
Rb (0.000, 0.000, 0.000)
Ta (0.000, 0.000, 0.500)
Ta (0.000, 0.500, 0.000)
Ta (0.500, 0.000, 0.000)
As (0.500, 0.500, 0.500)

[6]
The following is a DFT calculation (PBE-GGA) of an optimized crystal structure of Rb5TaTl2As4.

Properties
* energy relative to the elements: -0.44 eV/atom
* total moment: 0.00 μB per formula unit
* crystal system: orthorhombic

a = 19.476 Å, b = 11.207 Å, c = 7.990 Å
α = 90.00°, β = 90.00°, γ = 90.00°
Fractional positions:
Rb (0.020, 0.250, 0.107)
Rb (0.078, 0.026, 0.696)
Rb (0.078, 0.474, 0.696)
Rb (0.248, 0.555, 0.475)
Rb (0.248, 0.945, 0.475)
Rb (0.252, 0.055, 0.975)
Rb (0.252, 0.445, 0.975)
Rb (0.422, 0.526, 0.196)
Rb (0.422, 0.974, 0.196)
Rb (0.480, 0.750, 0.607)
Rb (0.520, 0.250, 0.393)
Rb (0.578, 0.026, 0.804)
Rb (0.578, 0.474, 0.804)
Rb (0.748, 0.555, 0.025)
Rb (0.748, 0.945, 0.025)
Rb (0.752, 0.055, 0.525)
Rb (0.752, 0.445, 0.525)
Rb (0.922, 0.526, 0.304)
Rb (0.922, 0.974, 0.304)
Rb (0.980, 0.750, 0.893)
Ta (0.164, 0.750, 0.077)
Ta (0.336, 0.250, 0.577)
Ta (0.664, 0.750, 0.423)
Ta (0.836, 0.250, 0.923)
Tl (0.056, 0.750, 0.416)
Tl (0.186, 0.250, 0.319)
Tl (0.314, 0.750, 0.819)
Tl (0.444, 0.250, 0.916)
Tl (0.556, 0.750, 0.084)
Tl (0.686, 0.250, 0.181)
Tl (0.814, 0.750, 0.681)
Tl (0.944, 0.250, 0.584)
As (0.103, 0.569, 0.191)
As (0.103, 0.931, 0.191)
As (0.164, 0.750, 0.765)
As (0.211, 0.250, 0.662)
As (0.289, 0.750, 0.162)
As (0.336, 0.250, 0.265)
As (0.397, 0.069, 0.691)
As (0.397, 0.431, 0.691)
As (0.603, 0.569, 0.309)
As (0.603, 0.931, 0.309)
As (0.664, 0.750, 0.735)
As (0.711, 0.250, 0.838)
As (0.789, 0.750, 0.338)
As (0.836, 0.250, 0.235)
As (0.897, 0.069, 0.809)
As (0.897, 0.431, 0.809)

[7]
The following is a DFT calculation (PBE-GGA) of an optimized crystal structure of RbTaZnAs2.

Properties
* energy relative to the elements: 0.43 eV/atom
* total moment: 1.33 μB per formula unit
* crystal system: tetragonal

a = 5.017 Å, b = 5.017 Å, c = 6.949 Å
α = 90.00°, β = 90.00°, γ = 90.00°
Fractional positions:
Rb (0.000, 0.000, 0.000)
Ta (0.000, 0.000, 0.500)
Zn (0.500, 0.500, 0.000)
As (0.000, 0.500, 0.500)
As (0.500, 0.000, 0.500)

[8]
The following is a DFT calculation (PBE-GGA) of an optimized crystal structure of RbTcAs3.

Properties
* energy relative to the elements: 0.18 eV/atom
* total moment: 0.00 μB per formula unit
* crystal system: cubic
* polymorph energy (0 for the lowest one): 0 meV/atom

a = 4.980 Å, b = 4.980 Å, c = 4.980 Å
α = 90.00°, β = 90.00°, γ = 90.00°
Fractional positions:
Rb (0.000, 0.000, 0.000)
Tc (0.500, 0.500, 0.500)
As (0.000, 0.500, 0.500)
As (0.500, 0.000, 0.500)
As (0.500, 0.500, 0.000)